1.
{
  "formula": "YOs2Br",
  "functional": "PBEsol",
  "state": "relaxed",
  "cell": [[3.0006, 0.0000, 0.0000], [0.0000, 4.5824, 0.0000], [-1.5003, -2.2912, 4.9361]],
  "species": ["Y", "Os", "Os", "Br"],
  "fractional_positions": [[0.5000, 0.0000, 0.0000], [0.7309, 0.7309, 0.4617], [0.2691, 0.2691, 0.5383], [0.0000, 0.5000, 0.0000]],
  "sg": "Immm",
  "raw_formation_energy_kj_per_mol_atoms": 35.2,
  "polymorph_energy_mev_per_atom": 0,
  "final_energy_ev_per_atom": -7.917,
  "magnetic_moment_mub_per_atom": 0.000,
  "dos_at_fermi_per_ev_atom": 1.028
}



2.
{
  "formula": "InCu2Os",
  "functional": "PBEsol",
  "state": "relaxed",
  "cell": [[2.9406, 0.0000, 0.0000], [0.0000, 2.9406, 0.0000], [0.0000, 0.0000, 6.5135]],
  "species": ["Cu", "Cu", "In", "Os"],
  "fractional_positions": [[0.0000, 0.0000, 0.0127], [0.5000, 0.5000, 0.2132], [0.0000, 0.0000, 0.4915], [0.5000, 0.5000, 0.7826]],
  "sg": "P4mm",
  "final_energy_ev_per_atom": -5.620,
  "e_form_mev_per_atom": 347,
  "magnetic_moment_mub_per_atom": 0.000,
  "dos_at_fermi_per_ev_atom": 0.688
}



3.
{
  "formula": "CsInSi3",
  "functional": "PBEsol",
  "state": "relaxed",
  "cell": [[5.2935, 0.0000, 0.0000], [0.0000, 5.2935, 0.0000], [0.0000, 0.0000, 5.2935]],
  "species": ["Cs", "Si", "Si", "Si", "In"],
  "fractional_positions": [[0.5000, 0.5000, 0.5000], [0.0000, 0.5000, 0.0000], [0.0000, 0.0000, 0.5000], [0.5000, 0.0000, 0.0000], [0.0000, 0.0000, 0.0000]],
  "sg": "Pm-3m",
  "raw_formation_energy_kj_per_mol_atoms": 91.4,
  "final_energy_ev_per_atom": -3.286,
  "magnetic_moment_mub_per_atom": 0.000,
  "dos_at_fermi_per_ev_atom": 0.707
}



4.
{
  "formula": "MnCo2Ru",
  "functional": "PBEsol",
  "state": "relaxed",
  "cell": [[-0.4892, 2.2209, -1.0537], [-0.2014, 0.1880, -2.4912], [-8.1495, -0.6913, -0.6542]],
  "species": ["Co", "Co", "Mn", "Ru"],
  "fractional_positions": [[0.2468, 0.2468, 0.2597], [0.7532, 0.7532, 0.7403], [0.5000, 0.5000, 0.5000], [0.0000, 0.0000, 0.0000]],
  "sg": "R-3m",
  "polymorph_energy_mev_per_atom": 69,
  "final_energy_ev_per_atom": -8.672,
  "e_form_mev_per_atom": 180,
  "magnetic_moment_mub_per_atom": 0.012,
  "dos_at_fermi_per_ev_atom": 1.487
}



5.
{
  "formula": "BaSn2ClO",
  "functional": "PBEsol",
  "state": "relaxed",
  "cell": [[-3.7830, 3.0466, 1.9050], [-0.0502, -2.8106, 4.3953], [3.6416, 3.2117, 2.0953]],
  "species": ["Cl", "Ba", "O", "Sn", "Sn"],
  "fractional_positions": [[0.0000, 0.0000, 0.0000], [0.5000, 0.5000, 0.5000], [0.0000, 0.0000, 0.5000], [0.0000, 0.5000, 0.0000], [0.5000, 0.0000, 0.0000]],
  "sg": "P4/mmm",
  "raw_formation_energy_kj_per_mol_atoms": 4.8,
  "final_energy_ev_per_atom": -3.535,
  "magnetic_moment_mub_per_atom": 0.379,
  "dos_at_fermi_per_ev_atom": 1.076
}



6.
{
  "formula": "YCdSb2Te",
  "functional": "PBEsol",
  "state": "relaxed",
  "cell": [[-0.5910, 0.1220, -5.6224], [-5.6923, -0.0673, 0.5968], [-0.0541, 5.7222, 0.1299]],
  "species": ["Y", "Sb", "Sb", "Te", "Cd"],
  "fractional_positions": [[0.0000, 0.0000, 0.0000], [0.0000, 0.0000, 0.5000], [0.0000, 0.5000, 0.0000], [0.5000, 0.0000, 0.0000], [0.5000, 0.5000, 0.5000]],
  "sg": "P4/mmm",
  "raw_formation_energy_kj_per_mol_atoms": 25.6,
  "final_energy_ev_per_atom": -3.867,
  "magnetic_moment_mub_per_atom": 0.000,
  "dos_at_fermi_per_ev_atom": 1.064
}



7.
{
  "formula": "Hf2VIr",
  "functional": "PBEsol",
  "state": "relaxed",
  "cell": [[4.5682, 0.0000, 0.0000], [2.2841, 3.9562, 0.0000], [2.2841, 1.3187, 3.7299]],
  "species": ["Ir", "Hf", "Hf", "V"],
  "fractional_positions": [[0.5000, 0.5000, 0.5000], [0.2500, 0.2500, 0.2500], [0.7500, 0.7500, 0.7500], [0.0000, 0.0000, 0.0000]],
  "sg": "Fm-3m",
  "final_energy_ev_per_atom": -10.602,
  "e_form_mev_per_atom": -486,
  "magnetic_moment_mub_per_atom": 0.445,
  "dos_at_fermi_per_ev_atom": 0.811
}



8.
{
  "formula": "In3Pb",
  "functional": "PBEsol",
  "state": "relaxed",
  "cell": [[3.5440, 0.0000, 0.0000], [0.0000, 5.6464, -0.1883], [-1.7720, -1.3066, 5.3483]],
  "species": ["Pb", "In", "In", "In"],
  "fractional_positions": [[0.0000, 0.0000, 0.0000], [0.5000, 0.5000, 0.0000], [0.7545, 0.2579, 0.5090], [0.2455, 0.7421, 0.4910]],
  "sg": "C2/m",
  "final_energy_ev_per_atom": -3.225,
  "e_form_mev_per_atom": 12,
  "magnetic_moment_mub_per_atom": 0.000,
  "dos_at_fermi_per_ev_atom": 0.470
}